# 1
Here is an optimized crystal structure of Mg3Au from Alexandria. Energies are from GGA-PBE.

Values from the calculation:
As for the formation energy from the elements: -0.288 eV per atom. Its final energy is -2.30 eV/atom. Its size of the total moment is 0.0 Bohr magnetons per cell. The calculation puts the energy above the lowest structure with this stoichiometry at 0.1281 eV per atom.

Cell lengths 3.2691, 4.7562, 5.0887 Å; angles 90.00, 90.00, 90.00 degrees
Closest atoms and distances in Å follow each position.
Space group Pmm2 (No. 25)
Unique sites:
Mg (0.0000, 0.0000, 0.0000) x1  8 Mg 2.98-3.27, 4 Au 2.99-3.06
Mg (0.0000, 0.5000, 0.3700) x1  8 Mg 2.95-3.27, 4 Au 2.97
Mg (0.5000, 0.5000, 0.8522) x1  10 Mg 2.95-3.27, 2 Au 2.95
Au (0.5000, 0.0000, 0.5087) x1  10 Mg 2.95-3.06, 2 Au 3.27

***

# 2
Here is an optimized crystal structure of TbHo3Ag from Alexandria. Energies are from GGA-PBE.

Values from the calculation:
As for the formation energy from the elements: -0.004 eV per atom. Its final energy is -4.25 eV/atom. Its size of the total moment is 0.0 Bohr magnetons per cell.

Cell lengths 11.0692, 7.4259, 7.7073 Å; angles 90.00, 111.35, 90.00 degrees
Closest atoms and distances in Å follow each position.
Space group C2/m (No. 12)
Unique sites:
Tb (0.0585, 0.0000, 0.2398) x4  2 Ag 3.27-3.31, 6 Ho 3.43-3.48, 1 Tb 3.44
Ho (0.0593, 0.5000, 0.2416) x4  2 Ag 3.22-3.25, 7 Ho 3.42-3.47
Ho (0.1632, 0.2502, 0.6493) x8  2 Ag 3.13, 4 Ho 3.42-3.49, 3 Tb 3.43-3.48
Ag (0.2466, 0.5000, 0.0002) x4  6 Ho 3.13-3.25, 2 Tb 3.27-3.31

***

# 3
Here is an optimized crystal structure of Te2P2W from Alexandria. Energies are from GGA-PBE.

Values from the calculation:
Its final energy is -4.93 eV/atom. Its size of the total moment is 0.0 Bohr magnetons per cell. The calculation puts the energy above the lowest structure with this stoichiometry at 0.7523 eV per atom.

Cell lengths 7.4722, 7.4722, 3.8577 Å; angles 90.00, 90.00, 90.00 degrees
Closest atoms and distances in Å follow each position.
Space group P4/mbm (No. 127)
Unique sites:
Te (0.1554, 0.3446, 0.0000) x4  2 P 2.57, 2 W 2.82
P (0.1840, 0.6840, 0.5000) x4  2 Te 2.57
W (0.0000, 0.0000, 0.0000) x2  4 Te 2.82

***

# 4
Here is an optimized crystal structure of CuTe2 from Alexandria. Energies are from GGA-PBE.

Values from the calculation:
Its final energy is -2.98 eV/atom. Its size of the total moment is 0.0 Bohr magnetons per cell.

Cell lengths 8.1469, 8.1469, 7.6018 Å; angles 90.00, 90.00, 120.00 degrees
Closest atoms and distances in Å follow each position.
Space group P6_3/mmc (No. 194)
Unique sites:
Cu (0.3333, 0.6667, 0.0826) x4  1 Cu 2.55, 3 Te 2.60
Te (0.0000, 0.0000, 0.0000) x2  6 Te 3.09
Te (0.1723, 0.3446, 0.2500) x6  2 Cu 2.60

***

# 5
Here is an optimized crystal structure of Li2YNi from Alexandria. Energies are from GGA-PBE.

Values from the calculation:
As for the formation energy from the elements: -0.070 eV per atom. Its final energy is -4.09 eV/atom. Its size of the total moment is 0.0 Bohr magnetons per cell. The calculation puts the energy above the lowest structure with this stoichiometry at 0.0000 eV per atom.

Cell lengths 10.6579, 3.5840, 4.1664 Å; angles 90.00, 112.77, 90.00 degrees
Closest atoms and distances in Å follow each position.
Space group C2/m (No. 12)
Unique sites:
Li (0.2312, 0.0000, 0.2304) x4  4 Li 2.77-2.78, 2 Ni 2.89, 2 Y 3.08-3.09
Y (0.0000, 0.0000, 0.5000) x2  4 Ni 2.75
Ni (0.0000, 0.5000, 0.0000) x2  4 Y 2.75, 4 Li 2.89

***

# 6
Here is an optimized crystal structure of Pt2RhW from Alexandria. Energies are from GGA-PBE.

Values from the calculation:
As for the formation energy from the elements: 0.306 eV per atom. Its final energy is -7.79 eV/atom. Its size of the total moment is 0.0 Bohr magnetons per cell. The calculation puts the energy above the lowest structure with this stoichiometry at 0.6093 eV per atom.

Cell lengths 7.1428, 7.1428, 5.3308 Å; angles 90.00, 90.00, 90.00 degrees
Closest atoms and distances in Å follow each position.
Space group I-42d (No. 122)
Unique sites:
Pt (0.2314, 0.2500, 0.1250) x8  2 W 2.52, 2 Pt 2.68, 2 Rh 2.70
Rh (0.0000, 0.0000, 0.5000) x4  2 W 2.67, 4 Pt 2.70
W (0.0000, 0.0000, 0.0000) x4  4 Pt 2.52, 2 Rh 2.67

***

# 7
Here is an optimized crystal structure of ZrH2Rh2 from Alexandria. Energies are from GGA-PBE.

Values from the calculation:
Its final energy is -6.30 eV/atom. Its size of the total moment is 0.0 Bohr magnetons per cell. The calculation puts the energy above the lowest structure with this stoichiometry at 0.0806 eV per atom.

Cell lengths 6.1271, 6.1271, 3.1766 Å; angles 90.00, 90.00, 90.00 degrees
Closest atoms and distances in Å follow each position.
Space group P4/mbm (No. 127)
Unique sites:
Zr (0.0000, 0.0000, 0.0000) x2  4 H 2.17
H (0.2413, 0.2587, 0.0000) x4  2 Rh 1.77
Rh (0.1519, 0.3481, 0.5000) x4  2 H 1.77

***

# 8
Here is an optimized crystal structure of LaGeSe3 from Alexandria. Energies are from GGA-PBE.

Values from the calculation:
Its final energy is -4.80 eV/atom. Its size of the total moment is 0.0 Bohr magnetons per cell. The calculation puts the energy above the lowest structure with this stoichiometry at 0.3435 eV per atom.

Cell lengths 5.0303, 5.0303, 5.0303 Å; angles 90.00, 90.00, 90.00 degrees
Closest atoms and distances in Å follow each position.
Space group Pm-3m (No. 221)
Unique sites:
La (0.0000, 0.0000, 0.0000) x1  12 Se 3.56
Ge (0.5000, 0.5000, 0.5000) x1  6 Se 2.52
Se (0.0000, 0.5000, 0.5000) x3  2 Ge 2.52

***

# 9
Here is an optimized crystal structure of CeY3Zn8 from Alexandria. Energies are from GGA-PBE.

Values from the calculation:
As for the formation energy from the elements: -0.324 eV per atom. Its final energy is -3.28 eV/atom. Its size of the total moment is 0.6 Bohr magnetons per cell.

Cell lengths 5.4786, 5.4786, 26.8347 Å; angles 90.00, 90.00, 120.00 degrees
Closest atoms and distances in Å follow each position.
Space group R3m (No. 160, hexagonal axes)
Unique sites:
Ce (0.0000, 0.0000, 0.0000) x3  12 Zn 3.21-3.23, 4 Y 3.31-3.34
Y (0.0000, 0.0000, 0.1235) x3  12 Zn 3.17-3.23, 1 Ce 3.31, 3 Y 3.38
Y (0.0000, 0.0000, 0.5014) x3  12 Zn 3.19-3.22, 4 Y 3.37-3.38
Y (0.0000, 0.0000, 0.6271) x3  12 Zn 3.20-3.25, 3 Ce 3.34, 1 Y 3.37
Zn (0.0000, 0.0000, 0.3130) x3  6 Zn 2.75
Zn (0.0000, 0.0000, 0.8127) x3  6 Zn 2.72-2.73
Zn (0.0018, 0.5009, 0.0638) x9  6 Zn 2.72-2.75
Zn (0.1678, 0.3356, 0.8954) x9  6 Zn 2.72-2.76